Entry 1:
Entry from Alexandria: Ag2OsRh after structural relaxation (PBE-GGA).

```
4
Lattice="2.8169 -3.4634 3.4349 5.2393 1.1316 1.7316 -5.4961 1.2016 -0.2780" Properties=species:S:1:pos:R:3 pbc="T T T"
Ag 2.0135 -0.5828 1.2913
Ag 6.0427 -1.7490 3.8753
Rh -1.3396 -1.1309 1.5785
Os -0.1284 1.1666 0.7268
```

Calculated values
The space-group type is No. 71. The crystal system is orthorhombic.

=====

Entry 2:
Entry from Alexandria: CaZnHPd2 after structural relaxation (PBE-GGA).

```
10
Lattice="-2.7437 -1.9502 1.6399 5.1014 -1.2786 2.7399 -1.1591 5.6705 4.8044" Properties=species:S:1:pos:R:3 pbc="T T T"
Ca -1.3445 0.2509 2.3237
H 0.0000 0.0000 0.0000
H -0.5796 2.8353 2.4022
Zn 1.7142 0.2067 3.1138
Zn -0.5156 2.2351 6.0702
Pd 0.6869 0.0382 5.4695
Ca 2.5431 2.1908 6.8604
Pd 0.0384 4.7192 5.6765
Pd 1.1602 -2.2774 3.5076
Pd 0.5117 2.4036 3.7146
```

Calculated values
The space-group type is No. 63. The crystal system is orthorhombic.

=====

Entry 3:
Entry from Alexandria: SrRhI2 after structural relaxation (PBE-GGA).

```
4
Lattice="-5.4106 -0.0176 0.7145 -3.3242 0.1545 -4.3256 -2.9175 -4.4078 -1.3582" Properties=species:S:1:pos:R:3 pbc="T T T"
Rh -5.8261 -2.1355 -2.4847
Sr 0.0000 0.0000 0.0000
I -2.9131 -1.0677 -1.2423
I -8.7392 -3.2032 -3.7270
```

Calculated values
The value obtained for the raw formation energy is -0.36 eV/atom. The space-group type is No. 225. The crystal system is cubic.

=====

Number 1: energy above the most stable polymorph in this dataset 1.23 eV per formula unit, mass density 13.17 g cm⁻³. Number 2: energy above the most stable polymorph in this dataset 0.00 eV per formula unit, mass density 6.69 g cm⁻³. Number 3: energy above the most stable polymorph in this dataset 0.39 eV per formula unit, mass density 6.42 g cm⁻³.